1.
This record from the Alexandria database describes a relaxed Tl5As4 crystal. The functional is GGA-PBE.

Results
Energy above the lowest structure with this stoichiometry: 133 meV per atom
Formation enthalpy at 0 K: 0.162 eV/atom
SG: I4/mmm (139)

Unit cell a=7.6748 b=7.6748 c=7.6748 alpha=95.28 beta=95.28 gamma=144.68
Element x y z (fractional)
Tl 0.6720 0.6720 0.3440
As 0.0000 0.3792 0.3792
Tl 0.3280 0.3280 0.6560
Tl 0.3280 0.6720 0.0000
As 0.0000 0.6208 0.6208
Tl 0.6720 0.3280 0.0000
As 0.3792 0.0000 0.3792
As 0.6208 0.0000 0.6208
Tl 0.0000 0.0000 0.0000


2.
This record from the Alexandria database describes a relaxed PrSmMgTl crystal. The functional is GGA-PBE.

Results
Formation enthalpy at 0 K: -0.258 eV/atom
SG: F-43m (216)

Unit cell a=5.4949 b=5.4949 c=5.4949 alpha=60.00 beta=60.00 gamma=60.00
Element x y z (fractional)
Sm 0.0000 0.0000 0.0000
Tl 0.2500 0.2500 0.2500
Mg 0.7500 0.7500 0.7500
Pr 0.5000 0.5000 0.5000


3.
This record from the Alexandria database describes a relaxed Ce12Si6Pt crystal. The functional is GGA-PBE.

Results
SG: R-3 (148)
Uncorrected energy: -117.633 eV per cell

Unit cell a=7.8037 b=7.8037 c=7.8037 alpha=94.87 beta=94.87 gamma=94.87
Each line ends with the local moment (μB).
Element x y z (fractional)
Ce 0.5683 0.4627 0.8371  0.59
Ce 0.0125 0.9093 0.6456  0.61
Pt 0.0000 0.0000 0.0000  -0.01
Si 0.8396 0.2613 0.6768  -0.01
Si 0.3232 0.1604 0.7387  -0.01
Ce 0.5373 0.1629 0.4317  0.59
Si 0.7387 0.3232 0.1604  -0.01
Ce 0.9875 0.0907 0.3544  0.61
Ce 0.1629 0.4317 0.5373  0.59
Ce 0.0907 0.3544 0.9875  0.61
Ce 0.3544 0.9875 0.0907  0.61
Ce 0.8371 0.5683 0.4627  0.59
Si 0.1604 0.7387 0.3232  -0.01
Si 0.6768 0.8396 0.2613  -0.01
Ce 0.4627 0.8371 0.5683  0.59
Ce 0.4317 0.5373 0.1629  0.59
Si 0.2613 0.6768 0.8396  -0.01
Ce 0.9093 0.6456 0.0125  0.61
Ce 0.6456 0.0125 0.9093  0.61


4.
This record from the Alexandria database describes a relaxed Nb2SiGe2 crystal. The functional is GGA-PBE.

Results
Energy above the lowest structure with this stoichiometry: 577 meV per atom
SG: I4/mmm (139)

Unit cell a=3.9504 b=3.9504 c=6.7121 alpha=72.89 beta=72.89 gamma=90.00
Element x y z (fractional)
Nb 0.2500 0.7500 0.5000
Si 0.0000 0.0000 0.0000
Ge 0.4016 0.4016 0.1968
Ge 0.5984 0.5984 0.8032
Nb 0.7500 0.2500 0.5000


5.
This record from the Alexandria database describes a relaxed LaNdErTh crystal. The functional is GGA-PBE.

Results
Energy above the lowest structure with this stoichiometry: 184 meV per atom
Formation enthalpy at 0 K: 0.212 eV/atom
SG: F-43m (216)

Unit cell a=5.7667 b=5.7667 c=5.7667 alpha=60.00 beta=60.00 gamma=60.00
Element x y z (fractional)
Nd 0.5000 0.5000 0.5000
Th 0.7500 0.7500 0.7500
Er 0.2500 0.2500 0.2500
La 0.0000 0.0000 0.0000


6.
This record from the Alexandria database describes a relaxed Ba4AuI crystal. The functional is GGA-PBE.

Results
SG: P2/m (10)
Uncorrected energy: -16.372 eV per cell

Unit cell a=4.7040 b=8.1440 c=9.0895 alpha=107.87 beta=90.00 gamma=90.00
Element x y z (fractional)
Ba 0.5000 0.2349 0.2139
I 0.0000 0.5000 0.5000
Au 0.5000 0.5000 0.0000
Ba 0.5000 0.7651 0.7861
Ba 0.0000 0.7350 0.2104
Ba 0.0000 0.2650 0.7896


Q: Number 4 is which compound?
A: Nb2SiGe2


Q: Number 5 is which compound?
A: LaNdErTh